## w
First-principles (PBE) data for LiLu2V after structural relaxation, as listed in Alexandria.

Computed properties:
SG: P4/mmm
Total magnetic moment (μB/cell): 2.7

Unit cell a=3.5011 b=3.5011 c=7.6075 alpha=90.00 beta=90.00 gamma=90.00
Last column: nearest neighbours and their distance in Å.
Element x y z (fractional)
Li 0.0000 0.0000 0.0000  8 Lu 3.27, 4 Li 3.50
Lu 0.5000 0.5000 0.2799  4 V 2.99, 4 Li 3.27
Lu 0.5000 0.5000 0.7201  4 V 2.99, 4 Li 3.27
V 0.0000 0.0000 0.5000  8 Lu 2.99


## x
First-principles (PBE) data for LiLu2V after structural relaxation, as listed in Alexandria.

Computed properties:
SG: R-3m
Total magnetic moment (μB/cell): 1.9

Unit cell a=10.3461 b=10.3461 c=10.3461 alpha=18.32 beta=18.32 gamma=18.32
Last column: nearest neighbours and their distance in Å.
Element x y z (fractional)
Li 0.0000 0.0000 0.0000  6 Li 3.29, 6 Lu 3.44
Lu 0.2395 0.2395 0.2395  3 V 2.92
Lu 0.7605 0.7605 0.7605  3 V 2.92
V 0.5000 0.5000 0.5000  6 Lu 2.92


What should be chosen as the least stable of them? Choose x.


## w
First-principles (PBE) data for LiYLu after structural relaxation, as listed in Alexandria.

Computed properties:
SG: P3m1
Total magnetic moment (μB/cell): 0.0

Unit cell a=3.4377 b=3.4377 c=8.2704 alpha=90.00 beta=90.00 gamma=120.00
Last column: nearest neighbours and their distance in Å.
Element x y z (fractional)
Li 0.0000 0.0000 0.0000  3 Lu 3.35, 3 Y 3.41, 6 Li 3.44
Y 0.3333 0.6667 0.6647  3 Li 3.41, 3 Lu 3.43, 6 Y 3.44
Lu 0.6667 0.3333 0.3258  3 Li 3.35, 3 Y 3.43, 6 Lu 3.44


## x
First-principles (PBE) data for LiYLu after structural relaxation, as listed in Alexandria.

Computed properties:
SG: I4mm
Total magnetic moment (μB/cell): 0.0

Unit cell a=6.7077 b=6.7077 c=6.7077 alpha=148.79 beta=148.79 gamma=44.73
Last column: nearest neighbours and their distance in Å.
Element x y z (fractional)
Li 0.0000 0.0000 0.0000  4 Lu 3.15, 4 Y 3.22
Y 0.3413 0.3413 0.0000  4 Li 3.22, 4 Lu 3.49, 4 Y 3.61
Lu 0.6494 0.6494 0.0000  4 Li 3.15, 4 Y 3.49


What should be chosen as the least stable of them? Choose w.


## w
First-principles (PBE) data for LiLu2Zn after structural relaxation, as listed in Alexandria.

Computed properties:
SG: Fm-3m
Total magnetic moment (μB/cell): 0.0

Unit cell a=5.0009 b=5.0009 c=5.0009 alpha=60.00 beta=60.00 gamma=60.00
Last column: nearest neighbours and their distance in Å.
Element x y z (fractional)
Li 0.0000 0.0000 0.0000  8 Lu 3.06
Lu 0.2500 0.2500 0.2500  4 Li 3.06, 4 Zn 3.06
Lu 0.7500 0.7500 0.7500  4 Li 3.06, 4 Zn 3.06
Zn 0.5000 0.5000 0.5000  8 Lu 3.06


## x
First-principles (PBE) data for LiLu2Zn after structural relaxation, as listed in Alexandria.

Computed properties:
SG: P4/mmm
Total magnetic moment (μB/cell): 0.0

Unit cell a=4.9811 b=4.9811 c=3.5702 alpha=90.00 beta=90.00 gamma=90.00
Last column: nearest neighbours and their distance in Å.
Element x y z (fractional)
Li 0.0000 0.0000 0.0000  8 Lu 3.06
Lu 0.0000 0.5000 0.5000  4 Zn 3.06, 4 Li 3.06
Lu 0.5000 0.0000 0.5000  4 Zn 3.06, 4 Li 3.06
Zn 0.5000 0.5000 0.0000  8 Lu 3.06


What should be chosen as the least stable of them? Choose w.


## w
First-principles (PBE) data for LiLu2Zr after structural relaxation, as listed in Alexandria.

Computed properties:
SG: P4/mmm
Total magnetic moment (μB/cell): 0.0

Unit cell a=5.4415 b=5.4415 c=3.3800 alpha=90.00 beta=90.00 gamma=90.00
Last column: nearest neighbours and their distance in Å.
Element x y z (fractional)
Li 0.0000 0.0000 0.0000  8 Lu 3.20, 2 Li 3.38
Lu 0.0000 0.5000 0.5000  4 Zr 3.20, 4 Li 3.20, 2 Lu 3.38
Lu 0.5000 0.0000 0.5000  4 Zr 3.20, 4 Li 3.20, 2 Lu 3.38
Zr 0.5000 0.5000 0.0000  8 Lu 3.20, 2 Zr 3.38


## x
First-principles (PBE) data for LiLu2Zr after structural relaxation, as listed in Alexandria.

Computed properties:
SG: P4/mmm
Total magnetic moment (μB/cell): 0.0

Unit cell a=3.3749 b=3.3749 c=8.8875 alpha=90.00 beta=90.00 gamma=90.00
Last column: nearest neighbours and their distance in Å.
Element x y z (fractional)
Li 0.0000 0.0000 0.0000  8 Lu 3.27, 4 Li 3.37
Lu 0.5000 0.5000 0.2514  4 Zr 3.25, 4 Li 3.27, 4 Lu 3.37
Lu 0.5000 0.5000 0.7486  4 Zr 3.25, 4 Li 3.27, 4 Lu 3.37
Zr 0.0000 0.0000 0.5000  8 Lu 3.25, 4 Zr 3.37


What should be chosen as the least stable of them? Choose w.


## w
First-principles (PBE) data for Li4Mg after structural relaxation, as listed in Alexandria.

Computed properties:
SG: Pm-3m
Total magnetic moment (μB/cell): 0.0

Unit cell a=5.2401 b=5.2401 c=5.2401 alpha=90.00 beta=90.00 gamma=90.00
Last column: nearest neighbours and their distance in Å.
Element x y z (fractional)
Li 0.0000 0.0000 0.0000  12 Li 3.71
Li 0.0000 0.5000 0.5000  2 Mg 2.62
Li 0.5000 0.0000 0.5000  2 Mg 2.62
Li 0.5000 0.5000 0.0000  2 Mg 2.62
Mg 0.5000 0.5000 0.5000  6 Li 2.62


## x
First-principles (PBE) data for Li4Mg after structural relaxation, as listed in Alexandria.

Computed properties:
SG: I4/m
Total magnetic moment (μB/cell): 0.0

Unit cell a=5.3397 b=5.3397 c=5.3397 alpha=98.81 beta=98.81 gamma=133.93
Last column: nearest neighbours and their distance in Å.
Element x y z (fractional)
Li 0.1003 0.3009 0.4012  9 Li 3.03-3.12, 3 Mg 3.04-3.10
Li 0.3009 0.8997 0.2006  9 Li 3.03-3.12, 3 Mg 3.04-3.10
Li 0.6991 0.1003 0.7994  9 Li 3.03-3.12, 3 Mg 3.04-3.10
Li 0.8997 0.6991 0.5988  9 Li 3.03-3.12, 3 Mg 3.04-3.10
Mg 0.5000 0.5000 0.0000  12 Li 3.04-3.10


What should be chosen as the least stable of them? Choose w.